[1]
Pr2Nd2SmDy | PBE-GGA | relaxed

- ΔH_f (0 K) (meV/atom) = 54
- space group = Pmma (51)
- uncorrected energy (eV/atom) = -4.68

Unit cell a=7.131 b=5.790 c=10.004 alpha=90.00 beta=90.00 gamma=90.00
Positions (direct):
Pr (0.000, 0.000, 0.000)
Pr (0.250, 0.500, 0.174)
Pr (0.500, 0.000, 0.000)
Pr (0.750, 0.500, 0.826)
Nd (0.250, 0.000, 0.333)
Nd (0.250, 0.500, 0.834)
Nd (0.750, 0.000, 0.667)
Nd (0.750, 0.500, 0.166)
Sm (0.250, 0.000, 0.661)
Sm (0.750, 0.000, 0.339)
Dy (0.000, 0.500, 0.500)
Dy (0.500, 0.500, 0.500)

[2]
Pr2NdSmDy5 | PBE-GGA | relaxed

- ΔH_f (0 K) (meV/atom) = 253
- space group = I4/mcm (140)
- uncorrected energy (eV/atom) = -4.42

Unit cell a=10.004 b=10.004 c=10.004 alpha=128.23 beta=128.23 gamma=76.25
Positions (direct):
Pr (0.118, 0.618, 0.737)
Pr (0.382, 0.118, 0.500)
Pr (0.618, 0.882, 0.500)
Pr (0.882, 0.382, 0.263)
Nd (0.250, 0.250, 0.000)
Nd (0.750, 0.750, 0.000)
Sm (0.250, 0.750, 0.500)
Sm (0.750, 0.250, 0.500)
Dy (0.000, 0.000, 0.000)
Dy (0.071, 0.151, 0.500)
Dy (0.151, 0.651, 0.080)
Dy (0.349, 0.429, 0.500)
Dy (0.429, 0.929, 0.080)
Dy (0.500, 0.500, 0.000)
Dy (0.571, 0.071, 0.920)
Dy (0.651, 0.571, 0.500)
Dy (0.849, 0.349, 0.920)
Dy (0.929, 0.849, 0.500)

[3]
PrNd3Sm2Dy6 | PBE-GGA | relaxed

- ΔH_f (0 K) (meV/atom) = 12
- space group = C2/m (12)
- uncorrected energy (eV/atom) = -4.67

Unit cell a=6.258 b=6.258 c=11.866 alpha=95.03 beta=95.03 gamma=119.99
Positions (direct):
Pr (0.000, 0.000, 0.000)
Nd (0.167, 0.833, 0.500)
Nd (0.500, 0.500, 0.500)
Nd (0.833, 0.167, 0.500)
Sm (0.333, 0.667, 0.000)
Sm (0.667, 0.333, 0.000)
Dy (0.083, 0.417, 0.249)
Dy (0.250, 0.250, 0.750)
Dy (0.417, 0.083, 0.249)
Dy (0.583, 0.917, 0.751)
Dy (0.750, 0.750, 0.250)
Dy (0.917, 0.583, 0.751)

[4]
Pr2NdSm4Dy | PBE-GGA | relaxed

- ΔH_f (0 K) (meV/atom) = 14
- space group = P2/m (10)
- uncorrected energy (eV/atom) = -4.71

Unit cell a=5.154 b=5.159 c=10.305 alpha=90.00 beta=90.10 gamma=90.00
Positions (direct):
Pr (0.000, 0.000, 0.000)
Pr (0.500, 0.500, 0.500)
Nd (0.000, 0.000, 0.500)
Sm (0.000, 0.500, 0.248)
Sm (0.000, 0.500, 0.752)
Sm (0.500, 0.000, 0.248)
Sm (0.500, 0.000, 0.752)
Dy (0.500, 0.500, 0.000)

[5]
Pr5NdSm2Dy | PBE-GGA | relaxed

- ΔH_f (0 K) (meV/atom) = 278
- space group = I4/mcm (140)
- uncorrected energy (eV/atom) = -4.47

Unit cell a=10.147 b=10.147 c=10.147 alpha=127.40 beta=127.40 gamma=77.61
Positions (direct):
Pr (0.000, 0.000, 0.000)
Pr (0.069, 0.569, 0.916)
Pr (0.153, 0.069, 0.500)
Pr (0.347, 0.847, 0.916)
Pr (0.431, 0.347, 0.500)
Pr (0.500, 0.500, 0.000)
Pr (0.569, 0.653, 0.500)
Pr (0.653, 0.153, 0.084)
Pr (0.847, 0.931, 0.500)
Pr (0.931, 0.431, 0.084)
Nd (0.250, 0.250, 0.000)
Nd (0.750, 0.750, 0.000)
Sm (0.116, 0.384, 0.500)
Sm (0.384, 0.884, 0.268)
Sm (0.616, 0.116, 0.732)
Sm (0.884, 0.616, 0.500)
Dy (0.250, 0.750, 0.500)
Dy (0.750, 0.250, 0.500)

[6]
Pr6NdSm2Dy | PBE-GGA | relaxed

- ΔH_f (0 K) (meV/atom) = 111
- space group = C2/c (15)
- uncorrected energy (eV/atom) = -4.64

Unit cell a=9.041 b=9.041 c=9.900 alpha=94.25 beta=94.25 gamma=117.75
Positions (direct):
Pr (0.011, 0.568, 0.188)
Pr (0.117, 0.753, 0.554)
Pr (0.247, 0.883, 0.946)
Pr (0.295, 0.507, 0.381)
Pr (0.432, 0.989, 0.312)
Pr (0.493, 0.705, 0.119)
Pr (0.507, 0.295, 0.881)
Pr (0.568, 0.011, 0.688)
Pr (0.705, 0.493, 0.619)
Pr (0.753, 0.117, 0.054)
Pr (0.883, 0.247, 0.446)
Pr (0.989, 0.432, 0.812)
Nd (0.022, 0.978, 0.250)
Nd (0.978, 0.022, 0.750)
Sm (0.198, 0.296, 0.045)
Sm (0.296, 0.198, 0.545)
Sm (0.704, 0.802, 0.455)
Sm (0.802, 0.704, 0.955)
Dy (0.409, 0.591, 0.750)
Dy (0.591, 0.409, 0.250)